*A*
The following is a PBE-GGA calculation of a relaxed structure of LiTlNiHg, from OQMD.

abc: 4.608 4.608 4.608
angles: 60.00 60.00 60.00
Sites, in units of the cell vectors:
Li 0.000 0.000 0.000
Tl 0.250 0.250 0.250
Ni 0.500 0.500 0.500
Hg 0.750 0.750 0.750

*B*
The following is a PBE-GGA calculation of a relaxed structure of LiTlNiHg, from OQMD.

abc: 4.683 4.683 4.683
angles: 60.00 60.00 60.00
Sites, in units of the cell vectors:
Li 0.000 0.000 0.000
Tl 0.500 0.500 0.500
Ni 0.750 0.750 0.750
Hg 0.250 0.250 0.250

Which of them is the most stable, and which is the least stable? *A* and *B*, in that order.

*A*
The following is a PBE-GGA calculation of a relaxed structure of LiHgO4, from OQMD.

abc: 3.392 4.616 4.641
angles: 91.76 90.11 90.08
Sites, in units of the cell vectors:
Li 0.000 0.000 0.000
Hg 0.495 0.500 0.500
O 0.500 0.101 0.897
O 0.500 0.899 0.102
O 0.995 0.309 0.310
O 0.996 0.692 0.689

*B*
The following is a PBE-GGA calculation of a relaxed structure of LiHgO4, from OQMD.

abc: 5.701 10.498 11.676
angles: 113.85 103.82 94.95
Sites, in units of the cell vectors:
Li 0.000 0.000 0.000
Li 0.021 0.362 0.769
Li 0.113 0.416 0.105
Li 0.518 0.914 0.089
Li 0.540 0.437 0.707
Li 0.664 0.525 0.079
Li 0.808 0.706 0.587
Li 0.924 0.016 0.701
Hg 0.062 0.689 0.889
Hg 0.101 0.873 0.222
Hg 0.140 0.126 0.513
Hg 0.431 0.936 0.617
Hg 0.516 0.193 0.916
Hg 0.561 0.713 0.347
Hg 0.680 0.398 0.264
Hg 0.941 0.421 0.546
O 0.010 0.201 0.909
O 0.033 0.617 0.221
O 0.077 0.912 0.405
O 0.135 0.180 0.015
O 0.143 0.322 0.915
O 0.170 0.877 0.057
O 0.181 0.684 0.566
O 0.203 0.339 0.635
O 0.227 0.611 0.457
O 0.258 0.067 0.736
O 0.320 0.154 0.303
O 0.410 0.160 0.216
O 0.452 0.522 0.185
O 0.453 0.580 0.868
O 0.477 0.862 0.858
O 0.584 0.052 0.356
O 0.613 0.734 0.087
O 0.626 0.974 0.960
O 0.635 0.208 0.571
O 0.639 0.685 0.959
O 0.642 0.416 0.877
O 0.670 0.788 0.754
O 0.672 0.504 0.466
O 0.688 0.062 0.275
O 0.706 0.857 0.539
O 0.765 0.181 0.666
O 0.767 0.337 0.087
O 0.861 0.500 0.951
O 0.874 0.508 0.723
O 0.875 0.890 0.803
O 0.970 0.322 0.363
O 0.999 0.640 0.334

*C*
The following is a PBE-GGA calculation of a relaxed structure of LiHgO4, from OQMD.

abc: 9.238 3.475 9.143
angles: 90.00 91.24 90.00
Sites, in units of the cell vectors:
Li 0.250 0.000 0.001
Li 0.250 0.000 0.501
Li 0.750 0.000 0.499
Li 0.750 0.000 0.999
Hg 0.000 0.485 0.250
Hg 0.000 0.515 0.750
Hg 0.500 0.485 0.250
Hg 0.500 0.515 0.750
O 0.090 0.014 0.652
O 0.090 0.986 0.152
O 0.178 0.500 0.487
O 0.178 0.500 0.987
O 0.322 0.500 0.012
O 0.322 0.500 0.512
O 0.410 0.014 0.848
O 0.410 0.986 0.348
O 0.590 0.014 0.652
O 0.590 0.986 0.152
O 0.678 0.500 0.488
O 0.678 0.500 0.988
O 0.822 0.500 0.013
O 0.822 0.500 0.513
O 0.910 0.014 0.848
O 0.910 0.986 0.348

Which of them is the most stable, and which is the least stable? *B* and *A*, in that order.

*A*
The following is a PBE-GGA calculation of a relaxed structure of Li2Hg2O5, from OQMD.

abc: 4.047 4.047 7.596
angles: 90.00 90.00 90.00
Sites, in units of the cell vectors:
Li 0.000 0.000 0.000
Li 0.000 0.000 0.500
Hg 0.500 0.500 0.219
Hg 0.500 0.500 0.781
O 0.000 0.500 0.144
O 0.000 0.500 0.856
O 0.500 0.000 0.144
O 0.500 0.000 0.856
O 0.500 0.500 0.500

*B*
The following is a PBE-GGA calculation of a relaxed structure of Li2Hg2O5, from OQMD.

abc: 3.486 3.486 8.357
angles: 90.00 90.00 90.00
Sites, in units of the cell vectors:
Li 0.000 0.000 0.230
Li 0.000 0.000 0.770
Hg 0.500 0.500 0.000
Hg 0.500 0.500 0.500
O 0.000 0.000 0.000
O 0.000 0.500 0.327
O 0.000 0.500 0.673
O 0.500 0.000 0.327
O 0.500 0.000 0.673

Which of them is the most stable, and which is the least stable? *B* and *A*, in that order.

*A*
The following is a PBE-GGA calculation of a relaxed structure of LiTcHgOs, from OQMD.

abc: 4.425 4.425 4.425
angles: 60.00 60.00 60.00
Sites, in units of the cell vectors:
Li 0.000 0.000 0.000
Tc 0.250 0.250 0.250
Hg 0.500 0.500 0.500
Os 0.750 0.750 0.750

*B*
The following is a PBE-GGA calculation of a relaxed structure of LiTcHgOs, from OQMD.

abc: 4.418 4.418 4.418
angles: 60.00 60.00 60.00
Sites, in units of the cell vectors:
Li 0.000 0.000 0.000
Tc 0.250 0.250 0.250
Hg 0.750 0.750 0.750
Os 0.500 0.500 0.500

Which of them is the most stable, and which is the least stable? *B* and *A*, in that order.

*A*
The following is a PBE-GGA calculation of a relaxed structure of LiTaHgPt, from OQMD.

abc: 4.524 4.524 4.524
angles: 60.00 60.00 60.00
Sites, in units of the cell vectors:
Li 0.000 0.000 0.000
Ta 0.750 0.750 0.750
Hg 0.500 0.500 0.500
Pt 0.250 0.250 0.250

*B*
The following is a PBE-GGA calculation of a relaxed structure of LiTaHgPt, from OQMD.

abc: 4.515 4.515 4.515
angles: 60.00 60.00 60.00
Sites, in units of the cell vectors:
Li 0.000 0.000 0.000
Ta 0.750 0.750 0.750
Hg 0.250 0.250 0.250
Pt 0.500 0.500 0.500

*C*
The following is a PBE-GGA calculation of a relaxed structure of LiTaHgPt, from OQMD.

abc: 4.565 4.565 4.565
angles: 60.00 60.00 60.00
Sites, in units of the cell vectors:
Li 0.000 0.000 0.000
Ta 0.500 0.500 0.500
Hg 0.750 0.750 0.750
Pt 0.250 0.250 0.250

Which of them is the most stable, and which is the least stable? *B* and *A*, in that order.

*A*
The following is a PBE-GGA calculation of a relaxed structure of RbLiHg, from OQMD.

abc: 5.449 5.449 5.449
angles: 60.00 60.00 60.00
Sites, in units of the cell vectors:
Rb 0.000 0.000 0.000
Li 0.750 0.750 0.750
Hg 0.500 0.500 0.500

*B*
The following is a PBE-GGA calculation of a relaxed structure of RbLiHg, from OQMD.

abc: 5.628 5.628 5.628
angles: 60.00 60.00 60.00
Sites, in units of the cell vectors:
Rb 0.000 0.000 0.000
Li 0.500 0.500 0.500
Hg 0.750 0.750 0.750

Which of them is the most stable, and which is the least stable? *B* and *A*, in that order.